# AcErScIn GGA-PBE optimized geometry
data_AcErScIn
_cell_length_a 5.481
_cell_length_b 5.481
_cell_length_c 5.481
_cell_angle_alpha 60.00
_cell_angle_beta 60.00
_cell_angle_gamma 60.00
_symmetry_space_group_name_H-M 'P 1'
_symmetry_Int_Tables_number 1
loop_
_symmetry_equiv_pos_as_xyz
'x,y,z'
loop_
_atom_site_label
_atom_site_fract_x
_atom_site_fract_y
_atom_site_fract_z
Ac1 0.000 0.000 0.000
Er1 0.250 0.250 0.250
Sc1 0.750 0.750 0.750
In1 0.500 0.500 0.500
# Total DFT energy (no corrections)   -4.439 eV per atom